# AcPr5SmTm2

A relaxed structure of AcPr5SmTm2 (PBE, Alexandria via LeMat-Bulk).

Cell: 5.867 9.323 12.326 Å, 90.00 90.00 108.34°
Sites, in units of the cell vectors:
Ac (0.615, 0.230, 0.923)
Ac (0.385, 0.770, 0.423)
Pr (0.420, 0.840, 0.088)
Pr (0.769, 0.539, 0.720)
Pr (0.424, 0.847, 0.769)
Pr (0.230, 0.459, 0.628)
Pr (0.940, 0.879, 0.571)
Pr (0.580, 0.160, 0.588)
Pr (0.231, 0.461, 0.220)
Pr (0.576, 0.153, 0.269)
Pr (0.770, 0.541, 0.128)
Pr (0.060, 0.121, 0.071)
Sm (0.747, 0.494, 0.423)
Sm (0.253, 0.506, 0.923)
Tm (0.891, 0.782, 0.924)
Tm (0.062, 0.124, 0.778)
Tm (0.109, 0.218, 0.424)
Tm (0.938, 0.876, 0.278)

Values from the calculation:
- space group = Cmc2_1
- calculated density (kg/m3) = 7368
- formation energy (eV/atom) = 0.0795



# AcPr2Sm4Tm

A relaxed structure of AcPr2Sm4Tm (PBE, Alexandria via LeMat-Bulk).

Cell: 6.083 6.072 9.730 Å, 51.40 90.00 90.00°
Sites, in units of the cell vectors:
Ac (0.500, 0.500, 0.000)
Pr (0.000, 0.000, 0.000)
Pr (0.500, 0.000, 0.500)
Sm (0.000, 0.765, 0.735)
Sm (0.000, 0.235, 0.265)
Sm (0.500, 0.736, 0.265)
Sm (0.500, 0.264, 0.735)
Tm (0.000, 0.500, 0.500)

Values from the calculation:
- space group = Pmmm
- calculated density (kg/m3) = 7564
- formation energy (eV/atom) = 0.1231



# AcPrSm2Tm

A relaxed structure of AcPrSm2Tm (PBE, Alexandria via LeMat-Bulk).

Cell: 5.940 9.864 6.457 Å, 108.99 90.00 90.00°
Sites, in units of the cell vectors:
Ac (0.250, 0.106, 0.967)
Ac (0.750, 0.894, 0.033)
Pr (0.250, 0.689, 0.753)
Pr (0.750, 0.311, 0.247)
Sm (0.750, 0.701, 0.432)
Sm (0.250, 0.299, 0.568)
Sm (0.750, 0.491, 0.836)
Sm (0.250, 0.509, 0.164)
Tm (0.250, 0.899, 0.376)
Tm (0.750, 0.101, 0.624)

Values from the calculation:
- space group = P2_1/m
- calculated density (kg/m3) = 7775
- formation energy (eV/atom) = 0.0428



Repeat the second record exactly.
# AcPr2Sm4Tm

A relaxed structure of AcPr2Sm4Tm (PBE, Alexandria via LeMat-Bulk).

Cell: 6.083 6.072 9.730 Å, 51.40 90.00 90.00°
Sites, in units of the cell vectors:
Ac (0.500, 0.500, 0.000)
Pr (0.000, 0.000, 0.000)
Pr (0.500, 0.000, 0.500)
Sm (0.000, 0.765, 0.735)
Sm (0.000, 0.235, 0.265)
Sm (0.500, 0.736, 0.265)
Sm (0.500, 0.264, 0.735)
Tm (0.000, 0.500, 0.500)

Values from the calculation:
- space group = Pmmm
- calculated density (kg/m3) = 7564
- formation energy (eV/atom) = 0.1231